Version 1
The following is a PBE calculation of a relaxed structure of AcCd2In2, from Alexandria via LeMat-Bulk.

Properties
The magnetic moment comes out at 0.0 μB/f.u.

Lattice parameters (Å, degrees): 4.798 4.798 12.079 90.00 90.00 90.00
Space group P4/nmm (No. 129, origin choice 2)
Inequivalent atoms, fractional coordinates:
Ac: 0.250 0.250 0.248 [2 per cell]
Cd: 0.250 0.250 0.638 [2 per cell]
Cd: 0.250 0.750 0.000 [2 per cell]
In: 0.250 0.250 0.865 [2 per cell]
In: 0.250 0.750 0.500 [2 per cell]

---

Version 2
The following is a PBE calculation of a relaxed structure of AcCd2In2, from Alexandria via LeMat-Bulk.

Properties
The magnetic moment comes out at 0.0 μB/f.u.

Lattice parameters (Å, degrees): 6.743 6.744 6.991 90.00 118.73 90.00
Space group C2/m (No. 12)
Inequivalent atoms, fractional coordinates:
Ac: 0.000 0.000 0.000 [2 per cell]
Cd: 0.111 0.500 0.222 [4 per cell]
In: 0.000 0.249 0.500 [4 per cell]

---

Stability check: which of them is least stable? version 2.

---

Version 1
The following is a PBE calculation of a relaxed structure of AcCd3In, from Alexandria via LeMat-Bulk.

Properties
The magnetic moment comes out at 0.0 μB/f.u.

Lattice parameters (Å, degrees): 6.776 6.782 6.860 90.00 118.97 90.00
Space group Cm (No. 8)
Inequivalent atoms, fractional coordinates:
Ac: 0.000 0.000 0.000 [2 per cell]
Cd: 0.000 0.246 0.500 [4 per cell]
Cd: 0.385 0.000 0.764 [2 per cell]
In: 0.110 0.500 0.224 [2 per cell]

---

Version 2
The following is a PBE calculation of a relaxed structure of AcCd3In, from Alexandria via LeMat-Bulk.

Properties
The magnetic moment comes out at 0.0 μB/f.u.

Lattice parameters (Å, degrees): 9.248 4.926 12.259 90.00 90.00 90.00
Space group Pnma (No. 62)
Inequivalent atoms, fractional coordinates:
Ac: 0.205 0.250 0.001 [4 per cell]
Cd: 0.092 0.250 0.628 [4 per cell]
Cd: 0.103 0.750 0.812 [4 per cell]
Cd: 0.107 0.750 0.189 [4 per cell]
In: 0.090 0.250 0.377 [4 per cell]

---

Stability check: which of them is least stable? version 2.

---

Version 1
The following is a PBE calculation of a relaxed structure of Ac6CdIn2, from Alexandria via LeMat-Bulk.

Properties
The magnetic moment comes out at 0.0 μB/f.u.

Lattice parameters (Å, degrees): 10.331 5.960 11.085 90.00 90.05 90.00
Space group C2/m (No. 12)
Inequivalent atoms, fractional coordinates:
Ac: 0.000 0.000 0.189 [4 per cell]
Ac: 0.166 0.500 0.398 [4 per cell]
Ac: 0.167 0.500 0.032 [4 per cell]
Cd: 0.000 0.000 0.500 [2 per cell]
In: 0.167 0.500 0.717 [4 per cell]

---

Version 2
The following is a PBE calculation of a relaxed structure of Ac6CdIn2, from Alexandria via LeMat-Bulk.

Properties
The magnetic moment comes out at 0.0 μB/f.u.

Lattice parameters (Å, degrees): 7.011 9.553 12.199 90.00 119.85 90.00
Space group P2_1/c (No. 14)
Inequivalent atoms, fractional coordinates:
Ac: 0.068 0.162 0.443 [4 per cell]
Ac: 0.335 0.687 0.433 [4 per cell]
Ac: 0.421 0.043 0.288 [4 per cell]
Cd: 0.000 0.000 0.000 [2 per cell]
In: 0.174 0.124 0.758 [4 per cell]

---

Stability check: which of them is least stable? version 2.